DFT (PBE-GGA) results for K2CeNb3O12 after structural relaxation.

Cell and atoms, written as POSCAR:
```
K2CeNb3O12
1.0
3.8527 2.2243 6.1926
-3.8527 2.2243 6.1926
0.0000 -4.4487 6.1926
K Ce Nb O
2 1 3 12
Cartesian
0.0000 0.0000 2.7194
0.0000 0.0000 15.8585
0.0000 0.0000 9.2889
-1.9263 -1.1122 6.1926
-1.9263 1.1122 12.3852
0.0000 2.2243 6.1926
-1.6841 -0.9723 8.1671
0.0000 -1.6238 5.9973
-1.4062 0.8119 5.9973
0.0000 -1.9447 10.4108
-1.6841 0.9723 10.4108
-1.4062 -0.8119 12.5806
1.4062 0.8119 5.9973
1.6841 -0.9723 8.1671
0.0000 1.9447 8.1671
1.4062 -0.8119 12.5806
0.0000 1.6238 12.5806
1.6841 0.9723 10.4107
```

Results
Raw formation energy ... -2.199 eV per atom
Symmetry ... R-3m, No. 166

DFT (PBE-GGA) results for Ba2LaTa after structural relaxation.

Cell and atoms, written as POSCAR:
```
Ba2LaTa
1.0
-2.5124 2.5124 5.6800
2.5124 -2.5124 5.6800
2.5124 2.5124 -5.6800
Ba La Ta
2 1 1
Cartesian
2.5124 0.0000 2.8400
0.0000 2.5124 2.8400
0.0000 0.0000 0.0000
0.0000 0.0000 5.6800
```

Results
E above lowest polymorph ... 318 meV/atom
Symmetry ... I4/mmm, No. 139
ΔE_f ... 0.925 eV/atom

DFT (PBE-GGA) results for Nb2Pt3Rh2 after structural relaxation.

Cell and atoms, written as POSCAR:
```
Nb2Pt3Rh2
1.0
2.7769 0.0000 0.0000
0.0000 2.8163 0.0000
-1.3874 0.0000 14.8595
Nb Pt Rh
2 3 2
Cartesian
-0.0004 0.0000 4.2115
1.3899 0.0000 10.6480
0.0000 1.4082 0.0000
-0.0005 1.4082 8.6324
1.3900 1.4082 6.2271
0.0014 1.4082 12.5472
1.3881 1.4082 2.3123
```

Results
Symmetry ... P2/m, No. 10
ΔE_f ... -0.264 eV/atom

DFT (PBE-GGA) results for K2InSnTe4 after structural relaxation.

Cell and atoms, written as POSCAR:
```
K2InSnTe4
1.0
0.0000 7.7854 12.1347
3.6189 0.0000 12.1347
3.6189 7.7854 0.0000
K In Sn Te
4 2 2 8
Cartesian
2.7141 5.8390 1.4565
4.5236 9.7317 7.5239
2.7141 5.8390 16.7456
4.5236 9.7317 22.8129
0.9047 1.9463 3.0337
6.3330 13.6244 21.2358
2.7141 5.8390 9.1010
4.5236 9.7317 15.1684
2.6075 3.6308 4.5385
4.6303 7.5235 10.6058
2.8208 8.0472 4.5385
2.8208 3.6308 13.6636
4.4169 11.9399 10.6058
4.4169 7.5235 19.7310
2.6075 8.0472 13.6636
4.6303 11.9399 19.7310
```

Results
Raw formation energy ... -0.547 eV per atom
Symmetry ... Fddd, No. 70

DFT (PBE-GGA) results for CaAc4Tl7 after structural relaxation.

Cell and atoms, written as POSCAR:
```
CaAc4Tl7
1.0
7.0323 -2.9758 0.0000
7.0323 2.9758 0.0000
-6.6419 0.0000 10.4031
Ca Ac Tl
1 4 7
Cartesian
0.0000 0.0000 0.0000
-0.7419 0.0000 6.9666
4.3746 0.0000 2.2876
3.0481 0.0000 8.1155
8.1646 0.0000 3.4364
-0.9417 0.0000 3.3424
-3.0355 0.0000 9.4855
2.1136 0.0000 4.8808
7.0323 0.0000 0.0000
5.3091 0.0000 5.5223
10.4582 0.0000 0.9175
8.3644 0.0000 7.0606
```

Results
Symmetry ... C2/m, No. 12
ΔE_f ... -0.206 eV/atom

DFT (PBE-GGA) results for Li2HfIn4 after structural relaxation.

Cell and atoms, written as POSCAR:
```
Li2HfIn4
1.0
-3.3597 3.3597 3.5236
3.3597 -3.3597 3.5236
3.3597 3.3597 -3.5236
Li Hf In
2 1 4
Cartesian
3.3597 0.0000 0.0000
0.0000 3.3597 0.0000
0.0000 0.0000 0.0000
1.6798 1.6798 -1.7618
1.6798 -1.6798 1.7618
-1.6798 1.6798 1.7618
1.6798 1.6798 1.7618
```

Results
Symmetry ... I4/mmm, No. 139
ΔE_f ... -0.209 eV/atom

DFT (PBE-GGA) results for NaMg2SiRh after structural relaxation.

Cell and atoms, written as POSCAR:
```
NaMg2SiRh
1.0
5.0294 0.0000 0.0000
0.0000 5.0294 0.0000
0.0000 0.0000 4.5625
Na Mg Si Rh
1 2 1 1
Cartesian
0.0000 0.0000 0.0000
0.0000 2.5147 2.2812
2.5147 0.0000 2.2812
2.5147 2.5147 0.0000
2.5147 2.5147 2.2812
```

Results
Raw formation energy ... -0.222 eV per atom
Symmetry ... P4/mmm, No. 123

DFT (PBE-GGA) results for HfPHS2 after structural relaxation.

Cell and atoms, written as POSCAR:
```
HfPHS2
1.0
4.5584 0.0000 0.0000
0.0000 4.5584 0.0000
0.0000 0.0000 3.2542
Hf P H S
1 1 1 2
Cartesian
0.0000 0.0000 0.0000
2.2792 2.2792 0.0000
2.2792 2.2792 1.6271
0.0000 2.2792 1.6271
2.2792 0.0000 1.6271
```

Results
E above lowest polymorph ... 0 meV/atom
Symmetry ... P4/mmm, No. 123

DFT (PBE-GGA) results for Ba2Al after structural relaxation.

Cell and atoms, written as POSCAR:
```
Ba2Al
1.0
9.1159 -2.3084 0.0000
9.1159 2.3084 0.0000
-1.4879 0.0000 6.9307
Ba Al
4 2
Cartesian
1.1792 0.0000 2.0312
5.9416 0.0000 1.2450
10.8024 0.0000 5.6857
15.5648 0.0000 4.8995
3.9007 0.0000 4.2123
12.8432 0.0000 2.7184
```

Results
Symmetry ... C2/m, No. 12
ΔE_f ... -0.080 eV/atom

DFT (PBE-GGA) results for Pm4ThSc5 after structural relaxation.

Cell and atoms, written as POSCAR:
```
Pm4ThSc5
1.0
3.5505 0.0000 0.0000
0.0000 3.5505 0.0000
0.0000 0.0000 22.9498
Pm Th Sc
4 1 5
Cartesian
0.0000 0.0000 2.3006
0.0000 0.0000 6.9009
0.0000 0.0000 16.0489
0.0000 0.0000 20.6491
0.0000 0.0000 11.4749
1.7752 1.7752 0.0000
1.7752 1.7752 4.6067
1.7752 1.7752 9.2576
1.7752 1.7752 13.6922
1.7752 1.7752 18.3431
```

Results
Symmetry ... P4/mmm, No. 123
ΔE_f ... 0.042 eV/atom

DFT (PBE-GGA) results for BaAcGe2 after structural relaxation.

Cell and atoms, written as POSCAR:
```
BaAcGe2
1.0
8.1505 0.0000 0.0000
0.0000 7.2915 0.0000
0.0000 0.0000 9.2310
Ba Ac Ge
4 4 8
Cartesian
0.0367 1.8229 1.8098
4.0386 5.4686 6.4253
4.1119 1.8229 2.8058
8.1138 5.4686 7.4213
1.1575 1.8229 6.0048
2.9177 5.4686 1.3892
5.2328 1.8229 7.8418
6.9930 5.4686 3.2263
1.7602 4.2090 4.1289
1.7602 6.7283 4.1289
2.3150 0.5632 8.7444
2.3150 3.0826 8.7444
5.8355 4.2090 0.4866
5.8355 6.7283 0.4866
6.3903 0.5632 5.1021
6.3903 3.0826 5.1021
```

Results
Symmetry ... Pnma, No. 62
ΔE_f ... -0.574 eV/atom

DFT (PBE-GGA) results for CoSi2Pb after structural relaxation.

Cell and atoms, written as POSCAR:
```
CoSi2Pb
1.0
2.6020 -3.8208 0.0000
2.6020 3.8208 0.0000
0.0000 0.0000 3.5674
Co Si Pb
1 2 1
Cartesian
0.0000 0.0000 0.0000
1.3010 1.9104 1.7837
1.3010 -1.9104 1.7837
2.6020 0.0000 0.0000
```

Results
Raw formation energy ... 0.714 eV per atom
Symmetry ... Cmmm, No. 65

Number 1: mass density 3.6 g/cm3. Number 2: mass density 6.9 g/cm3. Number 3: mass density 14.0 g/cm3. Number 4: mass density 4.0 g/cm3. Number 5: mass density 9.1 g/cm3. Number 6: mass density 6.8 g/cm3. Number 7: mass density 2.9 g/cm3. Number 8: mass density 6.7 g/cm3. Number 9: mass density 3.4 g/cm3. Number 10: mass density 6.0 g/cm3. Number 11: mass density 6.2 g/cm3. Number 12: mass density 7.5 g/cm3.